Record 1
8
Lattice="7.411 0.000 0.000 0.000 4.777 0.000 -3.099 0.000 7.743" Properties=species:S:1:pos:R:3 comment="Na2PrPaBi4 | Alexandria via LeMat-Bulk | PBE | relaxed" magmom_total_mub_per_fu=0.006 formation_enthalpy_0k_mev_per_atom=-275 total_energy_ev_per_atom=-4.330 dos_ef_per_ev_cell=8.00 pbc="T T T"
Na 0.000 0.000 0.000
Na -1.549 2.388 3.871
Pr 2.156 0.000 3.871
Pa 3.706 2.388 0.000
Bi 1.199 2.388 1.873
Bi -0.375 0.000 5.940
Bi 4.687 0.000 1.803
Bi 3.113 2.388 5.869



Record 2
10
Lattice="-3.785 4.904 3.509 3.785 -4.904 3.509 3.785 4.904 -3.509" Properties=species:S:1:pos:R:3 comment="Tm3ScCo | Alexandria via LeMat-Bulk | PBE | relaxed" magmom_total_mub_per_fu=0.000 formation_enthalpy_0k_mev_per_atom=-87 total_energy_ev_per_atom=-5.458 dos_ef_per_ev_cell=11.46 relative_energy_mev_per_atom=43.1 pbc="T T T"
Tm 1.893 4.764 -1.754
Tm 1.893 -0.140 1.754
Tm 0.000 2.452 0.008
Tm 3.785 2.452 3.501
Tm -1.893 5.044 1.754
Tm 1.893 5.044 1.754
Sc 3.785 2.452 0.094
Sc 0.000 2.452 3.415
Co -1.893 2.452 1.754
Co 1.893 2.452 1.754



Record 3
11
Lattice="5.806 0.000 0.000 -2.086 6.002 0.000 -2.851 -2.295 5.456" Properties=species:S:1:pos:R:3 comment="NaLa2P2N6 | Alexandria via LeMat-Bulk | PBE | relaxed" magmom_total_mub_per_fu=1.033 total_energy_ev_per_atom=-7.275 dos_ef_per_ev_cell=2.36 e_form_raw_ev_per_fu=-8.08 pbc="T T T"
Na 0.000 0.000 0.000
La -0.242 0.202 3.668
La 1.111 3.505 1.788
P -1.992 2.764 4.041
P 2.861 0.942 1.415
N -3.119 3.831 3.785
N -2.236 1.392 4.798
N -0.505 2.956 3.520
N 1.374 0.751 1.935
N 3.105 2.315 0.658
N 3.988 -0.124 1.670



Record 4
26
Lattice="4.520 -5.188 0.000 4.520 5.188 0.000 0.000 0.000 9.103" Properties=species:S:1:pos:R:3 comment="TmAl10Cr2 | Alexandria via LeMat-Bulk | PBE | relaxed" magmom_total_mub_per_fu=3.334 formation_enthalpy_0k_mev_per_atom=-205 total_energy_ev_per_atom=-4.908 dos_ef_per_ev_cell=15.73 pbc="T T T"
Tm 4.520 3.834 6.827
Tm 4.520 -3.834 2.276
Al 2.480 1.413 6.827
Al 4.520 3.615 0.887
Al 4.520 3.615 3.665
Al 3.139 1.356 2.276
Al 2.063 0.000 0.000
Al 2.063 0.000 4.552
Al 4.520 1.307 4.900
Al 4.520 1.307 8.755
Al 2.480 -1.413 2.276
Al 3.139 -1.356 6.827
Al 5.901 1.356 2.276
Al 6.560 1.413 6.827
Al 4.520 -1.307 0.349
Al 4.520 -1.307 4.203
Al 6.977 0.000 0.000
Al 6.977 0.000 4.552
Al 5.901 -1.356 6.827
Al 4.520 -3.615 5.438
Al 4.520 -3.615 8.216
Al 6.560 -1.413 2.276
Cr 2.260 2.594 0.000
Cr 2.260 2.594 4.552
Cr 2.260 -2.594 0.000
Cr 2.260 -2.594 4.552



Record 5
8
Lattice="0.000 3.936 3.936 3.936 0.000 3.936 3.936 3.936 0.000" Properties=species:S:1:pos:R:3 comment="Al7Os | Alexandria via LeMat-Bulk | PBE | relaxed" magmom_total_mub_per_fu=0.000 formation_enthalpy_0k_mev_per_atom=-101 total_energy_ev_per_atom=-4.780 dos_ef_per_ev_cell=2.89 pbc="T T T"
Al 0.000 0.000 0.000
Al 1.968 1.968 0.000
Al 1.968 0.000 1.968
Al 3.936 1.968 1.968
Al 0.000 1.968 1.968
Al 1.968 3.936 1.968
Al 1.968 1.968 3.936
Os 3.936 3.936 3.936



Record 6
16
Lattice="4.050 0.000 0.000 0.000 4.050 0.000 0.000 0.000 15.147" Properties=species:S:1:pos:R:3 comment="CdSiF2 | Alexandria via LeMat-Bulk | PBE | relaxed" magmom_total_mub_per_fu=0.000 total_energy_ev_per_atom=-3.533 dos_ef_per_ev_cell=4.06 relative_energy_mev_per_atom=493.2 e_form_raw_ev_per_fu=-4.05 pbc="T T T"
Cd 0.000 0.000 0.000
Cd 0.000 2.025 3.787
Cd 2.025 0.000 11.360
Cd 2.025 2.025 7.574
Si 0.000 0.000 7.574
Si 0.000 2.025 11.360
Si 2.025 0.000 3.787
Si 2.025 2.025 0.000
F 0.809 1.012 9.467
F 1.012 2.833 13.254
F 1.012 3.241 5.680
F 1.216 1.012 1.893
F 2.833 3.037 1.893
F 3.037 0.809 5.680
F 3.037 1.216 13.254
F 3.241 3.037 9.467



Record 7
5
Lattice="5.712 0.000 0.000 0.000 5.712 0.000 0.000 0.000 5.238" Properties=species:S:1:pos:R:3 comment="RbHfS2I | Alexandria via LeMat-Bulk | PBE | relaxed" magmom_total_mub_per_fu=0.000 total_energy_ev_per_atom=-3.488 dos_ef_per_ev_cell=5.04 e_form_raw_ev_per_fu=3.29 pbc="T T T"
Rb 0.000 0.000 0.000
Hf 2.856 2.856 0.000
S 0.000 2.856 2.619
S 2.856 0.000 2.619
I 2.856 2.856 2.619



Record 8
10
Lattice="4.054 0.000 0.000 0.000 4.054 0.000 0.000 0.000 9.481" Properties=species:S:1:pos:R:3 comment="UFeSi2Ru | Alexandria via LeMat-Bulk | PBE | relaxed" magmom_total_mub_per_fu=1.253 total_energy_ev_per_atom=-8.547 dos_ef_per_ev_cell=8.80 e_form_raw_ev_per_fu=-2.86 pbc="T T T"
U 0.000 0.000 0.000
U 2.027 2.027 4.741
Fe 0.000 2.027 2.370
Fe 2.027 0.000 7.111
Si 0.000 0.000 3.540
Si 0.000 0.000 5.941
Si 2.027 2.027 1.200
Si 2.027 2.027 8.281
Ru 0.000 2.027 7.111
Ru 2.027 0.000 2.370



Record 9
5
Lattice="5.417 0.000 0.000 0.000 5.417 0.000 0.000 0.000 5.417" Properties=species:S:1:pos:R:3 comment="TaIn3Au | Alexandria via LeMat-Bulk | PBE | relaxed" magmom_total_mub_per_fu=0.000 formation_enthalpy_0k_mev_per_atom=915 total_energy_ev_per_atom=-3.754 dos_ef_per_ev_cell=4.79 relative_energy_mev_per_atom=0.0 pbc="T T T"
Ta 0.000 0.000 0.000
In 0.000 0.000 2.709
In 0.000 2.709 0.000
In 2.709 0.000 0.000
Au 2.709 2.709 2.709



Record 10
10
Lattice="7.299 0.000 0.000 0.000 7.299 0.000 0.000 0.000 4.492" Properties=species:S:1:pos:R:3 comment="Y2In2Ir | Alexandria via LeMat-Bulk | PBE | relaxed" magmom_total_mub_per_fu=0.000 formation_enthalpy_0k_mev_per_atom=-367 total_energy_ev_per_atom=-5.820 dos_ef_per_ev_cell=7.74 pbc="T T T"
Y 1.253 2.397 0.000
Y 2.397 6.046 0.000
Y 4.902 1.253 0.000
Y 6.046 4.902 0.000
In 1.010 4.660 2.246
In 2.639 1.010 2.246
In 4.660 6.288 2.246
In 6.288 2.639 2.246
Ir 0.000 0.000 2.246
Ir 3.649 3.649 2.246



Record 11
14
Lattice="-2.107 4.872 6.291 2.107 -4.872 6.291 2.107 4.872 -6.291" Properties=species:S:1:pos:R:3 comment="Tb3Ga8Ru3 | Alexandria via LeMat-Bulk | PBE | relaxed" magmom_total_mub_per_fu=0.000 formation_enthalpy_0k_mev_per_atom=-546 total_energy_ev_per_atom=-5.256 dos_ef_per_ev_cell=6.45 pbc="T T T"
Tb 0.000 0.000 0.000
Tb 0.000 0.000 4.202
Tb 0.000 0.000 8.379
Ga 2.107 -1.307 2.148
Ga 2.107 -2.092 4.793
Ga 2.107 1.307 2.148
Ga 0.000 2.780 1.498
Ga 2.107 2.092 4.793
Ga 0.000 3.565 4.142
Ga 0.000 6.965 1.498
Ga 0.000 6.179 4.142
Ru 2.107 2.644 0.000
Ru 0.000 4.872 0.000
Ru 0.000 2.229 6.291



Record 12
16
Lattice="6.072 0.000 0.000 0.000 6.072 0.000 0.000 0.000 6.072" Properties=species:S:1:pos:R:3 comment="TiCo2Br | Alexandria via LeMat-Bulk | PBE | relaxed" magmom_total_mub_per_fu=0.001 total_energy_ev_per_atom=-5.395 dos_ef_per_ev_cell=17.34 relative_energy_mev_per_atom=0.0 e_form_raw_ev_per_fu=2.20 pbc="T T T"
Ti 0.000 0.000 0.000
Ti 0.000 3.036 3.036
Ti 3.036 0.000 3.036
Ti 3.036 3.036 0.000
Co 1.518 1.518 1.518
Co 1.518 1.518 4.554
Co 1.518 4.554 1.518
Co 1.518 4.554 4.554
Co 4.554 1.518 1.518
Co 4.554 1.518 4.554
Co 4.554 4.554 1.518
Co 4.554 4.554 4.554
Br 0.000 0.000 3.036
Br 0.000 3.036 0.000
Br 3.036 0.000 0.000
Br 3.036 3.036 3.036



Record 13
16
Lattice="7.738 0.000 0.000 0.000 7.738 0.000 0.000 0.000 7.738" Properties=species:S:1:pos:R:3 comment="RbYHf2 | Alexandria via LeMat-Bulk | PBE | relaxed" magmom_total_mub_per_fu=0.000 formation_enthalpy_0k_mev_per_atom=1266 total_energy_ev_per_atom=-5.569 dos_ef_per_ev_cell=32.52 relative_energy_mev_per_atom=0.0 pbc="T T T"
Rb 0.000 0.000 0.000
Rb 0.000 3.869 3.869
Rb 3.869 0.000 3.869
Rb 3.869 3.869 0.000
Y 0.000 0.000 3.869
Y 0.000 3.869 0.000
Y 3.869 0.000 0.000
Y 3.869 3.869 3.869
Hf 1.934 1.934 1.934
Hf 1.934 1.934 5.803
Hf 1.934 5.803 1.934
Hf 1.934 5.803 5.803
Hf 5.803 1.934 1.934
Hf 5.803 1.934 5.803
Hf 5.803 5.803 1.934
Hf 5.803 5.803 5.803